Material: Mn2CrFe
Method: DFT, SCAN
State: single point on PBEsol structure

Results
The value obtained for the formation energy is 0.04 eV per atom. The space-group type is P4mm (99). For the magnetic moment, the calculation gives 3.525 μB/f.u.

a = 2.809 Å, b = 2.809 Å, c = 5.444 Å
α = 90.00°, β = 90.00°, γ = 90.00°
Each line ends with the local moment (μB).
Element x y z (fractional)
Mn  0.000  0.000  0.999  2.91
Mn  0.500  0.500  0.253  -2.10
Fe  0.500  0.500  0.748  1.40
Cr  0.000  0.000  0.500  1.26